(1)
The following is a GGA-PBE calculation of a relaxed structure of Li2YZn, from Alexandria.

SG: P2/m, No. 10
Energy of formation, eV/atom: -0.024
Density of states at the Fermi level, states/eV per cell: 2.949
Final energy, eV/f.u.: -11.7

```
Li2YZn
1.0
3.369 0.000 0.000
0.000 5.096 0.000
-0.332 0.000 5.057
Li Y Zn
2 1 1
Direct
0.168 0.000 0.280 Li
0.832 0.000 0.720 Li
0.500 0.500 0.000 Y
0.000 0.500 0.500 Zn
```


(2)
The following is a GGA-PBE calculation of a relaxed structure of LiYZn, from Alexandria.

SG: P3m1, No. 156
Energy of formation, eV/atom: -0.124
Density of states at the Fermi level, states/eV per cell: 2.802
E above lowest polymorph, eV per formula unit: 0.00
Final energy, eV/f.u.: -10.0

```
LiYZn
1.0
4.724 0.000 0.000
-2.362 4.091 0.000
0.000 0.000 3.279
Li Y Zn
1 1 1
Direct
0.000 0.000 0.000 Li
0.667 0.333 0.499 Y
0.333 0.667 0.998 Zn
```


(3)
The following is a GGA-PBE calculation of a relaxed structure of LiY4Zn2, from Alexandria.

SG: R-3m, No. 166
Energy of formation, eV/atom: -0.092
Density of states at the Fermi level, states/eV per cell: 8.142
Final energy, eV/f.u.: -31.0

```
LiY4Zn2
1.0
2.526 1.458 8.122
-2.526 1.458 8.122
0.000 -2.917 8.122
Li Y Zn
1 4 2
Direct
0.000 0.000 0.000 Li
0.130 0.130 0.130 Y
0.382 0.382 0.382 Y
0.618 0.618 0.618 Y
0.870 0.870 0.870 Y
0.256 0.256 0.256 Zn
0.744 0.744 0.744 Zn
```


(4)
The following is a GGA-PBE calculation of a relaxed structure of Li2YZn, from Alexandria.

SG: Immm, No. 71
Energy of formation, eV/atom: -0.055
Density of states at the Fermi level, states/eV per cell: 3.151
Final energy, eV/f.u.: -11.8

```
Li2YZn
1.0
-1.664 2.544 5.084
1.664 -2.544 5.084
1.664 2.544 -5.084
Li Y Zn
2 1 1
Direct
0.214 0.214 0.000 Li
0.786 0.786 0.000 Li
0.500 0.000 0.500 Y
0.000 0.500 0.500 Zn
```


(5)
The following is a GGA-PBE calculation of a relaxed structure of LiYZn, from Alexandria.

SG: Pmmm, No. 47
Energy of formation, eV/atom: 0.038
Density of states at the Fermi level, states/eV per cell: 2.423
E above lowest polymorph, eV per formula unit: 0.49
Final energy, eV/f.u.: -9.5

```
LiYZn
1.0
3.250 0.000 0.000
0.000 4.046 0.000
0.000 0.000 5.244
Li Y Zn
1 1 1
Direct
0.000 0.000 0.000 Li
0.000 0.500 0.500 Y
0.500 0.500 0.000 Zn
```


(6)
The following is a GGA-PBE calculation of a relaxed structure of LiYZn, from Alexandria.

SG: F-43m, No. 216
Energy of formation, eV/atom: 0.420
Density of states at the Fermi level, states/eV per cell: 4.001
E above lowest polymorph, eV per formula unit: 1.63
Final energy, eV/f.u.: -8.4

```
LiYZn
1.0
0.000 3.396 3.396
3.396 0.000 3.396
3.396 3.396 0.000
Li Y Zn
1 1 1
Direct
0.000 0.000 0.000 Li
0.750 0.750 0.750 Y
0.500 0.500 0.500 Zn
```